An optimized crystal structure of InGa2Tc. Source: the Alexandria database, functional PBE.

Values from the calculation:
DFT total energy (eV per cell): -35.81
Calculated formation energy (eV per atom): 0.313
Symmetry: I-42d (122)
V (Å³/f.u.): 77.3

a = 4.085 Å, b = 4.085 Å, c = 9.704 Å
α = 77.85°, β = 77.85°, γ = 90.00°
Each line ends with the local moment (μB).
Atoms (fractional coordinates):
Tc1 0.500 0.500 0.000  1.22
Tc2 0.250 0.750 0.500  1.20
Ga1 0.570 0.125 0.250  0.02
Ga2 0.180 0.625 0.250  0.02
Ga3 0.375 0.430 0.750  0.02
Ga4 0.875 0.820 0.750  0.02
In1 0.000 0.000 0.000  0.00
In2 0.750 0.250 0.500  0.00

=====

An optimized crystal structure of InGa2Tc. Source: the Alexandria database, functional PBE.

Values from the calculation:
DFT total energy (eV per cell): -19.10
Calculated formation energy (eV per atom): 0.014
Symmetry: P4/mmm (123)
V (Å³/f.u.): 68.2

a = 3.445 Å, b = 3.445 Å, c = 5.747 Å
α = 90.00°, β = 90.00°, γ = 90.00°
Atoms (fractional coordinates):
Tc1 0.500 0.500 0.000
Ga1 0.000 0.000 0.779
Ga2 0.000 0.000 0.221
In1 0.500 0.500 0.500

=====

An optimized crystal structure of In3GaTc. Source: the Alexandria database, functional PBE.

Values from the calculation:
DFT total energy (eV per cell): -16.25
Calculated formation energy (eV per atom): 1.072
Symmetry: Pm-3m (221)
V (Å³/f.u.): 142.3
E above lowest polymorph (meV per atom): 739.8

a = 5.221 Å, b = 5.221 Å, c = 5.221 Å
α = 90.00°, β = 90.00°, γ = 90.00°
Each line ends with the local moment (μB).
Atoms (fractional coordinates):
Tc1 0.500 0.500 0.500  3.34
Ga1 0.000 0.000 0.000  0.04
In1 0.000 0.500 0.000  -0.03
In2 0.000 0.000 0.500  0.01
In3 0.500 0.000 0.000  -0.03